[1]
An optimized crystal structure of ScSn2GeCl. Source: Alexandria via LeMat-Bulk, functional PBE.

Calculated volume = 152.5 Å³ per cell
Formation energy without anion corrections = 4.86 kJ per mole of atoms
E = -4.110 eV/atom
Total moment = 0.00 μB per cell

a b c (Å): 5.6817 5.6817 4.7236
angles (deg): 90.00 90.00 90.00
Closest atoms and distances in Å follow each position.
Fractional coordinates of all 5 atoms:
Sc 0.0000 0.0000 0.0000  2 Cl 2.36
Sn 0.0000 0.5000 0.0000  2 Sc 2.84
Sn 0.5000 0.0000 0.0000  2 Sc 2.84
Ge 0.5000 0.5000 0.5000  8 Sn 3.69, 4 Cl 4.02
Cl 0.0000 0.0000 0.5000  2 Sc 2.36

[2]
An optimized crystal structure of RbHfN2F. Source: Alexandria via LeMat-Bulk, functional PBE.

Calculated volume = 82.7 Å³ per cell
Formation energy without anion corrections = 145.56 kJ per mole of atoms
E = -4.380 eV/atom
Total moment = 0.00 μB per cell

a b c (Å): 4.3675 4.3675 4.3362
angles (deg): 90.00 90.00 90.00
Closest atoms and distances in Å follow each position.
Fractional coordinates of all 5 atoms:
Rb 0.0000 0.0000 0.0000  2 F 2.17, 4 N 2.18
Hf 0.5000 0.5000 0.5000  8 N 3.08, 4 F 3.09
N 0.0000 0.5000 0.0000  2 Rb 2.18
N 0.5000 0.0000 0.0000  2 Rb 2.18
F 0.0000 0.0000 0.5000  2 Rb 2.17

[3]
An optimized crystal structure of Pr4SmDy2Ho2. Source: Alexandria via LeMat-Bulk, functional PBE.

Calculated volume = 302.8 Å³ per cell
Calculated formation energy = 17 kJ/mol of formula units
E = -4.669 eV/atom
Total moment = 0.00 μB per cell

a b c (Å): 8.1148 8.1148 8.0937
angles (deg): 107.39 107.39 36.77
Closest atoms and distances in Å follow each position.
Fractional coordinates of all 9 atoms:
Pr 0.0538 0.0538 0.3312  4 Dy 3.61-3.65, 2 Sm 3.61, 4 Pr 3.61-3.66, 2 Ho 3.61-3.64
Pr 0.2769 0.2769 0.6687  3 Ho 3.58-3.61, 3 Dy 3.61-3.66, 1 Sm 3.63, 5 Pr 3.64-3.66
Pr 0.7231 0.7231 0.3313  3 Ho 3.58-3.61, 3 Dy 3.61-3.66, 1 Sm 3.63, 5 Pr 3.64-3.66
Pr 0.9462 0.9462 0.6688  4 Dy 3.61-3.65, 2 Sm 3.61, 4 Pr 3.61-3.66, 2 Ho 3.61-3.64
Sm 0.5000 0.5000 0.0000  2 Dy 3.61, 6 Pr 3.61-3.63, 4 Ho 3.64
Dy 0.3885 0.3885 0.3306  3 Ho 3.60, 1 Sm 3.61, 7 Pr 3.61-3.66, 1 Dy 3.66
Dy 0.6115 0.6115 0.6694  3 Ho 3.60, 1 Sm 3.61, 7 Pr 3.61-3.66, 1 Dy 3.66
Ho 0.1680 0.1680 0.9994  5 Pr 3.58-3.64, 2 Ho 3.59, 3 Dy 3.60, 2 Sm 3.64
Ho 0.8320 0.8320 0.0006  5 Pr 3.58-3.64, 2 Ho 3.59, 3 Dy 3.60, 2 Sm 3.64